Record 1
A plane-wave DFT calculation with GGA-PBE was carried out for a relaxed NbFeReB crystal.

Properties
- DFT total energy (eV per atom) = -8.95
- total moment (μB per cell) = 3.64

CIF file:
```
data_NbFeReB
_space_group_name_H-M_alt 'F -4 3 m'
_space_group_IT_number 216
_space_group_name_Hall 'F -4 2 3'
_cell_length_a 5.891
_cell_length_b 5.891
_cell_length_c 5.891
_cell_angle_alpha 90.00
_cell_angle_beta 90.00
_cell_angle_gamma 90.00
loop_
_atom_site_label
_atom_site_type_symbol
_atom_site_fract_x
_atom_site_fract_y
_atom_site_fract_z
Nb1 Nb 0.000 0.000 0.000
Fe1 Fe 0.250 0.250 0.750
Re1 Re 0.250 0.250 0.250
B1 B 0.000 0.000 0.500
```


Record 2
A plane-wave DFT calculation with GGA-PBE was carried out for a relaxed ScNbFeB crystal.

Properties
- DFT total energy (eV per atom) = -7.51
- total moment (μB per cell) = 0.02

CIF file:
```
data_ScNbFeB
_space_group_name_H-M_alt 'F -4 3 m'
_space_group_IT_number 216
_space_group_name_Hall 'F -4 2 3'
_cell_length_a 5.943
_cell_length_b 5.943
_cell_length_c 5.943
_cell_angle_alpha 90.00
_cell_angle_beta 90.00
_cell_angle_gamma 90.00
loop_
_atom_site_label
_atom_site_type_symbol
_atom_site_fract_x
_atom_site_fract_y
_atom_site_fract_z
Sc1 Sc 0.000 0.000 0.000
Nb1 Nb 0.250 0.250 0.750
Fe1 Fe 0.000 0.000 0.500
B1 B 0.250 0.250 0.250
```


Record 3
A plane-wave DFT calculation with GGA-PBE was carried out for a relaxed TaNbFe2B2 crystal.

Properties
- DFT total energy (eV per atom) = -9.16
- total moment (μB per cell) = 7.99

CIF file:
```
data_TaNbFe2B2
_space_group_name_H-M_alt 'A m m 2'
_space_group_IT_number 38
_cell_length_a 3.083
_cell_length_b 3.232
_cell_length_c 13.890
_cell_angle_alpha 90.00
_cell_angle_beta 90.00
_cell_angle_gamma 90.00
loop_
_space_group_symop_operation_xyz
'x,y,z'
'-x,-y,z'
'-x,y,z'
'x,-y,z'
'x,y+1/2,z+1/2'
'-x,-y+1/2,z+1/2'
'-x,y+1/2,z+1/2'
'x,-y+1/2,z+1/2'
loop_
_atom_site_label
_atom_site_type_symbol
_atom_site_fract_x
_atom_site_fract_y
_atom_site_fract_z
Ta1 Ta 0.000 0.000 0.000
Nb1 Nb 0.500 0.000 0.190
Fe1 Fe 0.000 0.000 0.800
Fe2 Fe 0.500 0.000 0.391
B1 B 0.000 0.000 0.629
B2 B 0.500 0.000 0.560
```


Record 4
A plane-wave DFT calculation with GGA-PBE was carried out for a relaxed TaNbFeB crystal.

Properties
- DFT total energy (eV per atom) = -8.67
- total moment (μB per cell) = 9.80

CIF file:
```
data_TaNbFeB
_space_group_name_H-M_alt 'F -4 3 m'
_space_group_IT_number 216
_space_group_name_Hall 'F -4 2 3'
_cell_length_a 6.020
_cell_length_b 6.020
_cell_length_c 6.020
_cell_angle_alpha 90.00
_cell_angle_beta 90.00
_cell_angle_gamma 90.00
loop_
_atom_site_label
_atom_site_type_symbol
_atom_site_fract_x
_atom_site_fract_y
_atom_site_fract_z
Ta1 Ta 0.000 0.000 0.000
Nb1 Nb 0.250 0.250 0.250
Fe1 Fe 0.250 0.250 0.750
B1 B 0.000 0.000 0.500
```


Record 5
A plane-wave DFT calculation with GGA-PBE was carried out for a relaxed NbFeBW crystal.

Properties
- DFT total energy (eV per atom) = -8.87
- total moment (μB per cell) = 7.63

CIF file:
```
data_NbFeBW
_space_group_name_H-M_alt 'F -4 3 m'
_space_group_IT_number 216
_space_group_name_Hall 'F -4 2 3'
_cell_length_a 5.955
_cell_length_b 5.955
_cell_length_c 5.955
_cell_angle_alpha 90.00
_cell_angle_beta 90.00
_cell_angle_gamma 90.00
loop_
_atom_site_label
_atom_site_type_symbol
_atom_site_fract_x
_atom_site_fract_y
_atom_site_fract_z
Nb1 Nb 0.000 0.000 0.000
Fe1 Fe 0.250 0.250 0.750
B1 B 0.000 0.000 0.500
W1 W 0.250 0.250 0.250
```


Record 6
A plane-wave DFT calculation with GGA-PBE was carried out for a relaxed Nd2Fe23B3 crystal.

Properties
- DFT total energy (eV per atom) = -7.98
- total moment (μB per cell) = 404.22

CIF file:
```
data_Nd2Fe23B3
_space_group_name_H-M_alt 'I -4 3 d'
_space_group_IT_number 220
_space_group_name_Hall 'I -4bd 2c 3'
_cell_length_a 14.055
_cell_length_b 14.055
_cell_length_c 14.055
_cell_angle_alpha 90.00
_cell_angle_beta 90.00
_cell_angle_gamma 90.00
loop_
_atom_site_label
_atom_site_type_symbol
_atom_site_fract_x
_atom_site_fract_y
_atom_site_fract_z
Nd1 Nd 0.058 0.442 0.558
Fe1 Fe 0.000 0.250 0.080
Fe2 Fe 0.017 0.340 0.936
Fe3 Fe 0.023 0.353 0.214
Fe4 Fe 0.067 0.128 0.377
Fe5 Fe 0.068 0.068 0.068
B1 B 0.000 0.250 0.313
```